The following is a DFT calculation (PBE-GGA) of a relaxed structure of Cd7In2Pb3.

Lattice parameters (Å, degrees): 3.213 5.766 17.304 84.70 90.00 90.00
Positions (direct):
Cd1 0.500 0.244 0.523
Cd2 0.000 0.557 0.168
Cd3 0.000 0.443 0.832
Cd4 0.500 0.087 0.149
Cd5 0.500 0.756 0.477
Cd6 0.000 0.000 0.000
Cd7 0.500 0.913 0.851
Pb1 0.000 0.288 0.352
Pb2 0.500 0.500 0.000
Pb3 0.000 0.712 0.648
In1 0.500 0.799 0.303
In2 0.500 0.201 0.697

Calculated values
raw total energy	-22.26	eV for the cell shown
DOS at the Fermi energy	4.253	states/eV/cell
ρ	8.52	g/cm³
formation energy	1.4	kcal/mol of atoms
energy above the most stable polymorph in this dataset	0	meV per atom

=====

The following is a DFT calculation (PBE-GGA) of a relaxed structure of Cd10InPb.

Lattice parameters (Å, degrees): 4.930 6.046 10.253 90.00 90.00 90.00
Positions (direct):
Cd1 0.500 0.248 0.249
Cd2 0.500 0.752 0.249
Cd3 0.500 0.248 0.751
Cd4 0.000 0.000 0.664
Cd5 0.000 0.500 0.168
Cd6 0.500 0.500 0.000
Cd7 0.500 0.752 0.751
Cd8 0.000 0.500 0.832
Cd9 0.000 0.000 0.336
Cd10 0.500 0.000 0.500
In1 0.000 0.500 0.500
Pb1 0.000 0.000 0.000

Calculated values
raw total energy	-14.57	eV for the cell shown
DOS at the Fermi energy	4.933	states/eV/cell
ρ	7.86	g/cm³
formation energy	2.0	kcal/mol of atoms

=====

The following is a DFT calculation (PBE-GGA) of a relaxed structure of Cd3InPb4.

Lattice parameters (Å, degrees): 3.382 5.232 12.795 90.00 90.00 90.00
Positions (direct):
Cd1 0.000 0.000 0.438
Cd2 0.500 0.000 0.930
Cd3 0.000 0.500 0.564
Pb1 0.500 0.000 0.670
Pb2 0.500 0.500 0.333
Pb3 0.000 0.000 0.182
Pb4 0.000 0.500 0.819
In1 0.500 0.500 0.063

Calculated values
raw total energy	-20.00	eV for the cell shown
DOS at the Fermi energy	2.289	states/eV/cell
ρ	9.40	g/cm³
formation energy	0.9	kcal/mol of atoms

=====

The following is a DFT calculation (PBE-GGA) of a relaxed structure of CdInPb2.

Lattice parameters (Å, degrees): 3.291 5.015 6.965 90.00 90.00 90.00
Positions (direct):
Pb1 0.500 0.500 0.266
Pb2 0.000 0.000 0.989
In1 0.500 0.500 0.737
Cd1 0.000 0.000 0.508

Calculated values
raw total energy	-10.94	eV for the cell shown
DOS at the Fermi energy	1.741	states/eV/cell
ρ	9.27	g/cm³
formation energy	0.8	kcal/mol of atoms
energy above the most stable polymorph in this dataset	4	meV per atom

=====

The following is a DFT calculation (PBE-GGA) of a relaxed structure of CdIn2Pb3.

Lattice parameters (Å, degrees): 3.546 10.620 10.710 61.47 80.47 80.39
Positions (direct):
Pb1 0.737 0.149 0.377
Pb2 0.933 0.713 0.421
Pb3 0.263 0.851 0.623
Pb4 0.067 0.287 0.579
Pb5 0.398 0.476 0.729
Pb6 0.602 0.524 0.271
In1 0.723 0.643 0.912
In2 0.059 0.824 0.058
In3 0.277 0.357 0.088
In4 0.941 0.176 0.942
Cd1 0.605 0.005 0.784
Cd2 0.395 0.995 0.216

Calculated values
raw total energy	-34.59	eV for the cell shown
DOS at the Fermi energy	4.309	states/eV/cell
ρ	9.21	g/cm³
formation energy	0.9	kcal/mol of atoms
energy above the most stable polymorph in this dataset	5	meV per atom

=====

The following is a DFT calculation (PBE-GGA) of a relaxed structure of Cd9In2Pb.

Lattice parameters (Å, degrees): 4.603 4.603 13.732 90.00 90.00 90.00
Positions (direct):
In1 0.000 0.000 0.664
In2 0.000 0.000 0.336
Cd1 0.500 0.000 0.828
Cd2 0.500 0.500 0.664
Cd3 0.500 0.500 0.336
Cd4 0.500 0.000 0.500
Cd5 0.000 0.500 0.172
Cd6 0.000 0.500 0.828
Cd7 0.000 0.500 0.500
Cd8 0.500 0.500 0.000
Cd9 0.500 0.000 0.172
Pb1 0.000 0.000 0.000

Calculated values
raw total energy	-16.95	eV for the cell shown
DOS at the Fermi energy	4.358	states/eV/cell
ρ	8.27	g/cm³
formation energy	0.9	kcal/mol of atoms
energy above the most stable polymorph in this dataset	0	meV per atom

=====

The following is a DFT calculation (PBE-GGA) of a relaxed structure of CdInPb2.

Lattice parameters (Å, degrees): 6.032 6.032 6.032 133.17 133.17 68.39
Positions (direct):
Pb1 0.000 0.000 0.000
Pb2 0.250 0.750 0.500
Cd1 0.500 0.500 0.000
In1 0.750 0.250 0.500

Calculated values
raw total energy	-10.89	eV for the cell shown
DOS at the Fermi energy	1.953	states/eV/cell
ρ	9.29	g/cm³
formation energy	1.0	kcal/mol of atoms
energy above the most stable polymorph in this dataset	15	meV per atom

=====

The following is a DFT calculation (PBE-GGA) of a relaxed structure of Cd4In4Pb.

Lattice parameters (Å, degrees): 4.774 7.365 7.365 83.97 71.09 71.09
Positions (direct):
Pb1 0.000 0.000 0.000
Cd1 0.656 0.343 0.344
Cd2 0.000 0.344 0.657
Cd3 0.000 0.656 0.343
Cd4 0.344 0.657 0.656
In1 0.328 0.000 0.343
In2 0.672 0.000 0.657
In3 0.671 0.657 0.000
In4 0.329 0.343 0.000

Calculated values
raw total energy	-18.01	eV for the cell shown
DOS at the Fermi energy	3.552	states/eV/cell
ρ	8.00	g/cm³
formation energy	0.8	kcal/mol of atoms
energy above the most stable polymorph in this dataset	0	meV per atom